# RbCF2 | Alexandria | PBE | relaxed
# Spin magnetization (μB per formula unit): 1.00
# Density (kg/m3): 2903
# Raw total energy (eV per cell): -38.721
# ΔE to the lowest computed polymorph (meV per atom): 546
# V (Å³ per cell): 233
# Formation energy without anion corrections (eV/atom): 0.2567
data_RbCF2
_cell_length_a 3.8645
_cell_length_b 3.8645
_cell_length_c 17.9777
_cell_angle_alpha 90.00
_cell_angle_beta 90.00
_cell_angle_gamma 120.00
_symmetry_space_group_name_H-M 'R -3 m'
_symmetry_Int_Tables_number 166
_symmetry_space_group_name_Hall '-R 3 2"'
loop_
_atom_site_label
_atom_site_type_symbol
_atom_site_fract_x
_atom_site_fract_y
_atom_site_fract_z
Rb1 Rb 0.0000 0.0000 0.0000
C1 C 0.0000 0.0000 0.5000
F1 F 0.0000 0.0000 0.1374



# RbCF2 | Alexandria | PBE | relaxed
# Spin magnetization (μB per formula unit): 1.00
# Density (kg/m3): 2948
# Raw total energy (eV per cell): -58.535
# ΔE to the lowest computed polymorph (meV per atom): 114
# V (Å³ per cell): 305
# Formation energy without anion corrections (eV/atom): -0.1749
data_RbCF2
_cell_length_a 5.037
_cell_length_b 5.037
_cell_length_c 12.028
_cell_angle_alpha 90.00
_cell_angle_beta 90.00
_cell_angle_gamma 90.00
_symmetry_space_group_name_H-M 'I -4 2 d'
_symmetry_Int_Tables_number 122
_symmetry_space_group_name_Hall 'I -4 2bw'
loop_
_atom_site_label
_atom_site_type_symbol
_atom_site_fract_x
_atom_site_fract_y
_atom_site_fract_z
Rb1 Rb 0.000 0.000 0.000
C1 C 0.000 0.000 0.500
F1 F 0.103 0.250 0.625



# RbCF2 | Alexandria | PBE | relaxed
# Spin magnetization (μB per formula unit): 1.00
# Density (kg/m3): 3496
# Raw total energy (eV per cell): -51.786
# ΔE to the lowest computed polymorph (meV per atom): 536
# V (Å³ per cell): 257
# Formation energy without anion corrections (eV/atom): 0.2469
data_RbCF2
_cell_length_a 6.361
_cell_length_b 6.361
_cell_length_c 6.361
_cell_angle_alpha 90.00
_cell_angle_beta 90.00
_cell_angle_gamma 90.00
_symmetry_space_group_name_H-M 'F m -3 m'
_symmetry_Int_Tables_number 225
_symmetry_space_group_name_Hall '-F 4 2 3'
loop_
_atom_site_label
_atom_site_type_symbol
_atom_site_fract_x
_atom_site_fract_y
_atom_site_fract_z
Rb1 Rb 0.000 0.000 0.000
C1 C 0.000 0.000 0.500
F1 F 0.250 0.250 0.250